Record 1
DFT (GGA-PBEsol) results for a relaxed structure of La3InRh.

Crystal system: cubic
Density of states at the Fermi level, states/eV/atom: 1.07
ΔE_f, meV per atom: -377

Lattice parameters (Å, degrees): 5.433 5.433 5.433 90.00 90.00 90.00
Space group Pm-3m (No. 221)
Symmetry-distinct sites (fractional):
1 La 0.000 0.000 0.500 [3 per cell]
2 In 0.500 0.500 0.500 [1 per cell]
3 Rh 0.000 0.000 0.000 [1 per cell]

***

Record 2
DFT (GGA-PBEsol) results for a relaxed structure of Al2Rh.

Crystal system: monoclinic
Density of states at the Fermi level, states/eV/atom: 0.26
ΔE_f, meV per atom: -707

Lattice parameters (Å, degrees): 9.312 3.013 6.616 90.00 111.57 90.00
Space group C2/m (No. 12)
Symmetry-distinct sites (fractional):
1 Al 0.050 0.000 0.326 [4 per cell]
2 Al 0.148 0.500 0.047 [4 per cell]
3 Rh 0.169 0.500 0.662 [4 per cell]

***

Record 3
DFT (GGA-PBEsol) results for a relaxed structure of Sn3ICl.

Crystal system: cubic
Density of states at the Fermi level, states/eV/atom: 0.97
Raw formation energy, meV/atom: 734

Lattice parameters (Å, degrees): 5.825 5.825 5.825 90.00 90.00 90.00
Space group Pm-3m (No. 221)
Symmetry-distinct sites (fractional):
1 Sn 0.000 0.000 0.500 [3 per cell]
2 I 0.000 0.000 0.000 [1 per cell]
3 Cl 0.500 0.500 0.500 [1 per cell]

***

Record 4
DFT (GGA-PBEsol) results for a relaxed structure of Al3CdB.

Crystal system: cubic
Density of states at the Fermi level, states/eV/atom: 0.70
ΔE_f, meV per atom: 1643

Lattice parameters (Å, degrees): 4.911 4.911 4.911 90.00 90.00 90.00
Space group Pm-3m (No. 221)
Symmetry-distinct sites (fractional):
1 Al 0.000 0.000 0.500 [3 per cell]
2 Cd 0.000 0.000 0.000 [1 per cell]
3 B 0.500 0.500 0.500 [1 per cell]

***

Record 5
DFT (GGA-PBEsol) results for a relaxed structure of La3HgN.

Crystal system: monoclinic
Density of states at the Fermi level, states/eV/atom: 0.69
Raw formation energy, meV/atom: -882

Lattice parameters (Å, degrees): 10.005 9.997 7.119 90.00 134.42 90.00
Space group C2/m (No. 12)
Symmetry-distinct sites (fractional):
1 La 0.000 0.204 0.000 [4 per cell]
2 La 0.000 0.259 0.500 [4 per cell]
3 La 0.213 0.500 0.019 [4 per cell]
4 Hg 0.247 0.500 0.501 [4 per cell]
5 N 0.250 0.250 0.000 [4 per cell]

***

Record 6
DFT (GGA-PBEsol) results for a relaxed structure of HfScHgGe2.

Crystal system: tetragonal
Density of states at the Fermi level, states/eV/atom: 1.07
ΔE_f, meV per atom: 934

Lattice parameters (Å, degrees): 4.979 4.979 5.291 90.00 90.00 90.00
Space group P4/mmm (No. 123)
Symmetry-distinct sites (fractional):
1 Hf 0.000 0.000 0.000 [1 per cell]
2 Sc 0.500 0.500 0.000 [1 per cell]
3 Hg 0.000 0.000 0.500 [1 per cell]
4 Ge 0.000 0.500 0.500 [2 per cell]

***

Record 7
DFT (GGA-PBEsol) results for a relaxed structure of AgPRu2.

Crystal system: orthorhombic
Density of states at the Fermi level, states/eV/atom: 0.87
Polymorph energy (0 for the lowest one), eV/f.u.: 0.57
ΔE_f, meV per atom: 78

Lattice parameters (Å, degrees): 2.849 3.000 13.935 90.00 90.00 90.00
Space group Imm2 (No. 44)
Symmetry-distinct sites (fractional):
1 Ag 0.000 0.000 0.000 [2 per cell]
2 P 0.000 0.500 0.757 [2 per cell]
3 Ru 0.000 0.000 0.638 [2 per cell]
4 Ru 0.000 0.500 0.331 [2 per cell]

***

Record 8
DFT (GGA-PBEsol) results for a relaxed structure of CrMoRu3.

Crystal system: cubic
Density of states at the Fermi level, states/eV/atom: 1.24
ΔE_f, meV per atom: 1799

Lattice parameters (Å, degrees): 4.536 4.536 4.536 90.00 90.00 90.00
Space group Pm-3m (No. 221)
Symmetry-distinct sites (fractional):
1 Cr 0.000 0.000 0.000 [1 per cell]
2 Mo 0.500 0.500 0.500 [1 per cell]
3 Ru 0.000 0.500 0.500 [3 per cell]

***

Record 9
DFT (GGA-PBEsol) results for a relaxed structure of CaTlRu2.

Crystal system: trigonal
Density of states at the Fermi level, states/eV/atom: 1.08
Polymorph energy (0 for the lowest one), eV/f.u.: 2.12
ΔE_f, meV per atom: 720

Lattice parameters (Å, degrees): 3.0797 3.0797 26.4912 90.00 90.00 120.00
Space group R-3m (No. 166, hexagonal axes)
Symmetry-distinct sites (fractional):
1 Ca 0.0000 0.0000 0.0000 [3 per cell]
2 Tl 0.0000 0.0000 0.5000 [3 per cell]
3 Ru 0.0000 0.0000 0.2464 [6 per cell]

***

Record 10
DFT (GGA-PBEsol) results for a relaxed structure of V9Sb7O32.

Crystal system: triclinic
Density of states at the Fermi level, states/eV/atom: 0.45
Raw formation energy, meV/atom: -1898

Lattice parameters (Å, degrees): 4.588 7.694 15.059 77.57 89.83 89.92
Space group P-1 (No. 2)
Symmetry-distinct sites (fractional):
1 V 0.000 0.000 0.000 [1 per cell]
2 V 0.003 0.747 0.752 [2 per cell]
3 V 0.008 0.129 0.630 [2 per cell]
4 V 0.499 0.689 0.938 [2 per cell]
5 V 0.500 0.437 0.689 [2 per cell]
6 Sb 0.000 0.500 0.500 [1 per cell]
7 Sb 0.001 0.381 0.878 [2 per cell]
8 Sb 0.497 0.944 0.187 [2 per cell]
9 Sb 0.498 0.185 0.432 [2 per cell]
10 O 0.189 0.891 0.642 [2 per cell]
11 O 0.190 0.017 0.266 [2 per cell]
12 O 0.190 0.138 0.889 [2 per cell]
13 O 0.193 0.260 0.514 [2 per cell]
14 O 0.194 0.640 0.387 [2 per cell]
15 O 0.198 0.515 0.763 [2 per cell]
16 O 0.198 0.767 0.012 [2 per cell]
17 O 0.200 0.382 0.139 [2 per cell]
18 O 0.298 0.331 0.324 [2 per cell]
19 O 0.301 0.820 0.828 [2 per cell]
20 O 0.301 0.946 0.452 [2 per cell]
21 O 0.302 0.079 0.074 [2 per cell]
22 O 0.304 0.204 0.701 [2 per cell]
23 O 0.307 0.701 0.201 [2 per cell]
24 O 0.311 0.454 0.954 [2 per cell]
25 O 0.313 0.575 0.577 [2 per cell]

***

Record 11
DFT (GGA-PBEsol) results for a relaxed structure of K2MgSc.

Crystal system: tetragonal
Density of states at the Fermi level, states/eV/atom: 0.91
ΔE_f, meV per atom: 310

Lattice parameters (Å, degrees): 3.743 3.743 11.362 90.00 90.00 90.00
Space group P4mm (No. 99)
Symmetry-distinct sites (fractional):
1 K 0.000 0.000 0.000 [1 per cell]
2 K 0.500 0.500 0.358 [1 per cell]
3 Mg 0.000 0.000 0.596 [1 per cell]
4 Sc 0.500 0.500 0.731 [1 per cell]

***

Record 12
DFT (GGA-PBEsol) results for a relaxed structure of Co2PbAu.

Crystal system: orthorhombic
Density of states at the Fermi level, states/eV/atom: 1.45
ΔE_f, meV per atom: 443

Lattice parameters (Å, degrees): 3.220 4.310 9.012 90.00 90.00 90.00
Space group Imm2 (No. 44)
Symmetry-distinct sites (fractional):
1 Co 0.000 0.000 0.000 [2 per cell]
2 Co 0.000 0.500 0.313 [2 per cell]
3 Pb 0.000 0.500 0.772 [2 per cell]
4 Au 0.000 0.000 0.553 [2 per cell]

***

Record 13
DFT (GGA-PBEsol) results for a relaxed structure of CaFeBiO5.

Crystal system: monoclinic
Density of states at the Fermi level, states/eV/atom: 0.25
Raw formation energy, meV/atom: -1585

Lattice parameters (Å, degrees): 5.736 10.562 8.620 90.00 104.92 90.00
Space group P2_1/c (No. 14)
Symmetry-distinct sites (fractional):
1 Ca 0.012 0.111 0.164 [4 per cell]
2 Fe 0.426 0.614 0.071 [4 per cell]
3 Bi 0.482 0.097 0.842 [4 per cell]
4 O 0.244 0.547 0.191 [4 per cell]
5 O 0.258 0.036 0.003 [4 per cell]
6 O 0.259 0.750 0.000 [4 per cell]
7 O 0.334 0.208 0.312 [4 per cell]
8 O 0.360 0.529 0.870 [4 per cell]

***

Record 14
DFT (GGA-PBEsol) results for a relaxed structure of MgSiIr2.

Crystal system: orthorhombic
Density of states at the Fermi level, states/eV/atom: 0.45
Raw formation energy, meV/atom: -310

Lattice parameters (Å, degrees): 2.948 4.717 8.344 90.00 90.00 90.00
Space group Immm (No. 71)
Symmetry-distinct sites (fractional):
1 Mg 0.000 0.000 0.000 [2 per cell]
2 Si 0.000 0.000 0.500 [2 per cell]
3 Ir 0.000 0.500 0.220 [4 per cell]

***

Record 15
DFT (GGA-PBEsol) results for a relaxed structure of LaSc5.

Crystal system: orthorhombic
Density of states at the Fermi level, states/eV/atom: 1.82
Polymorph energy (0 for the lowest one), eV/f.u.: 0.05
ΔE_f, meV per atom: 52

Lattice parameters (Å, degrees): 5.242 3.334 17.289 90.00 90.00 90.00
Space group Amm2 (No. 38)
Symmetry-distinct sites (fractional):
1 La 0.000 0.000 0.000 [2 per cell]
2 Sc 0.000 0.000 0.326 [2 per cell]
3 Sc 0.000 0.000 0.669 [2 per cell]
4 Sc 0.500 0.000 0.222 [2 per cell]
5 Sc 0.500 0.000 0.557 [2 per cell]
6 Sc 0.500 0.000 0.883 [2 per cell]

***

Record 16
DFT (GGA-PBEsol) results for a relaxed structure of CaMnIr.

Crystal system: orthorhombic
Density of states at the Fermi level, states/eV/atom: 0.65
Polymorph energy (0 for the lowest one), eV/f.u.: 0.00
ΔE_f, meV per atom: 116

Lattice parameters (Å, degrees): 3.090 3.510 10.355 90.00 90.00 90.00
Space group Imm2 (No. 44)
Symmetry-distinct sites (fractional):
1 Ca 0.000 0.000 0.000 [2 per cell]
2 Mn 0.000 0.000 0.285 [2 per cell]
3 Ir 0.000 0.000 0.699 [2 per cell]

***

Record 17
DFT (GGA-PBEsol) results for a relaxed structure of In3GaS.

Crystal system: cubic
Density of states at the Fermi level, states/eV/atom: 0.40
Raw formation energy, meV/atom: 273

Lattice parameters (Å, degrees): 5.153 5.153 5.153 90.00 90.00 90.00
Space group Pm-3m (No. 221)
Symmetry-distinct sites (fractional):
1 In 0.000 0.000 0.500 [3 per cell]
2 Ga 0.000 0.000 0.000 [1 per cell]
3 S 0.500 0.500 0.500 [1 per cell]

***

Record 18
DFT (GGA-PBEsol) results for a relaxed structure of Ca2TlPb.

Crystal system: tetragonal
Density of states at the Fermi level, states/eV/atom: 0.56
Polymorph energy (0 for the lowest one), eV/f.u.: 0.01
ΔE_f, meV per atom: -539

Lattice parameters (Å, degrees): 5.407 5.407 7.750 90.00 90.00 90.00
Space group I4/mmm (No. 139)
Symmetry-distinct sites (fractional):
1 Ca 0.000 0.500 0.250 [4 per cell]
2 Tl 0.000 0.000 0.000 [2 per cell]
3 Pb 0.000 0.000 0.500 [2 per cell]

***

Record 19
DFT (GGA-PBEsol) results for a relaxed structure of Ca2InRh.

Crystal system: tetragonal
Density of states at the Fermi level, states/eV/atom: 0.48
ΔE_f, meV per atom: -321

Lattice parameters (Å, degrees): 3.414 3.414 8.505 90.00 90.00 90.00
Space group P4mm (No. 99)
Symmetry-distinct sites (fractional):
1 Ca 0.000 0.000 0.000 [1 per cell]
2 Ca 0.500 0.500 0.383 [1 per cell]
3 In 0.000 0.000 0.635 [1 per cell]
4 Rh 0.500 0.500 0.792 [1 per cell]

***

Record 20
DFT (GGA-PBEsol) results for a relaxed structure of Na3Pd5F12.

Crystal system: monoclinic
Density of states at the Fermi level, states/eV/atom: 0.15
Raw formation energy, meV/atom: -1552

Lattice parameters (Å, degrees): 12.876 6.936 6.723 90.00 109.62 90.00
Space group C2/m (No. 12)
Symmetry-distinct sites (fractional):
1 Na 0.000 0.000 0.000 [2 per cell]
2 Na 0.000 0.259 0.500 [4 per cell]
3 Pd 0.000 0.500 0.000 [2 per cell]
4 Pd 0.231 0.000 0.469 [4 per cell]
5 Pd 0.250 0.250 0.000 [4 per cell]
6 F 0.069 0.000 0.378 [4 per cell]
7 F 0.074 0.293 0.890 [8 per cell]
8 F 0.108 0.500 0.458 [4 per cell]
9 F 0.211 0.000 0.162 [4 per cell]
10 F 0.240 0.000 0.769 [4 per cell]

***

Record 21
DFT (GGA-PBEsol) results for a relaxed structure of Sb2PtIN.

Crystal system: tetragonal
Density of states at the Fermi level, states/eV/atom: 0.60
Raw formation energy, meV/atom: 820

Lattice parameters (Å, degrees): 4.718 4.718 4.515 90.00 90.00 90.00
Space group P4/mmm (No. 123)
Symmetry-distinct sites (fractional):
1 Sb 0.000 0.500 0.000 [2 per cell]
2 Pt 0.000 0.000 0.500 [1 per cell]
3 I 0.500 0.500 0.500 [1 per cell]
4 N 0.500 0.500 0.000 [1 per cell]

***

Record 22
DFT (GGA-PBEsol) results for a relaxed structure of CsAlSb2I.

Crystal system: tetragonal
Density of states at the Fermi level, states/eV/atom: 1.19
Raw formation energy, meV/atom: -93

Lattice parameters (Å, degrees): 5.299 5.299 6.343 90.00 90.00 90.00
Space group P4/mmm (No. 123)
Symmetry-distinct sites (fractional):
1 Cs 0.000 0.000 0.000 [1 per cell]
2 Al 0.500 0.500 0.500 [1 per cell]
3 Sb 0.000 0.500 0.500 [2 per cell]
4 I 0.500 0.500 0.000 [1 per cell]

***

Record 23
DFT (GGA-PBEsol) results for a relaxed structure of NaAs2BrCl.

Crystal system: tetragonal
Density of states at the Fermi level, states/eV/atom: 0.75
Raw formation energy, meV/atom: 301

Lattice parameters (Å, degrees): 4.693 4.693 7.008 90.00 90.00 90.00
Space group P4/mmm (No. 123)
Symmetry-distinct sites (fractional):
1 Na 0.000 0.000 0.000 [1 per cell]
2 As 0.000 0.500 0.500 [2 per cell]
3 Br 0.500 0.500 0.000 [1 per cell]
4 Cl 0.500 0.500 0.500 [1 per cell]

***

Record 24
DFT (GGA-PBEsol) results for a relaxed structure of CaTlOs2.

Crystal system: cubic
Density of states at the Fermi level, states/eV/atom: 1.37
Polymorph energy (0 for the lowest one), eV/f.u.: 1.02
ΔE_f, meV per atom: 1061

Lattice parameters (Å, degrees): 6.578 6.578 6.578 90.00 90.00 90.00
Space group Fm-3m (No. 225)
Symmetry-distinct sites (fractional):
1 Ca 0.000 0.000 0.000 [4 per cell]
2 Tl 0.000 0.000 0.500 [4 per cell]
3 Os 0.250 0.250 0.250 [8 per cell]